1.
The following is a DFT calculation (PBEsol) of an optimized crystal structure of In3As.

a = 3.271 Å, b = 5.361 Å, c = 5.360 Å
α = 90.00°, β = 90.00°, γ = 90.00°
Fractional coordinates of all 4 atoms:
As: 0.000 0.000 0.916
In: 0.500 0.000 0.416
In: 0.500 0.500 0.917
In: 0.000 0.500 0.417



2.
The following is a DFT calculation (PBEsol) of an optimized crystal structure of InAs2.

a = 3.677 Å, b = 5.686 Å, c = 6.633 Å
α = 91.13°, β = 106.09°, γ = 90.00°
Fractional coordinates of all 6 atoms:
As: 0.847 0.251 0.695
As: 0.492 0.278 0.983
As: 0.508 0.722 0.017
As: 0.153 0.749 0.305
In: 0.170 0.242 0.341
In: 0.830 0.758 0.659



3.
The following is a DFT calculation (PBEsol) of an optimized crystal structure of In2As.

a = 5.554 Å, b = 5.801 Å, c = 5.801 Å
α = 76.75°, β = 61.40°, γ = 61.40°
Fractional coordinates of all 6 atoms:
As: 0.250 0.000 0.000
As: 0.750 0.000 0.000
In: 0.848 0.500 0.804
In: 0.152 0.500 0.196
In: 0.348 0.804 0.500
In: 0.652 0.196 0.500



4.
The following is a DFT calculation (PBEsol) of an optimized crystal structure of InAs.

a = 3.939 Å, b = 6.790 Å, c = 6.824 Å
α = 90.00°, β = 90.00°, γ = 90.00°
Fractional coordinates of all 8 atoms:
As: 0.750 0.250 0.083
As: 0.250 0.250 0.583
As: 0.750 0.750 0.417
As: 0.250 0.750 0.917
In: 0.750 0.000 0.750
In: 0.250 0.500 0.250
In: 0.750 0.500 0.750
In: 0.250 0.000 0.250



5.
The following is a DFT calculation (PBEsol) of an optimized crystal structure of InAs.

a = 4.301 Å, b = 4.301 Å, c = 4.301 Å
α = 60.00°, β = 60.00°, γ = 60.00°
Fractional coordinates of all 2 atoms:
As: 0.000 0.000 0.000
In: 0.250 0.250 0.250



6.
The following is a DFT calculation (PBEsol) of an optimized crystal structure of InAs.

a = 4.290 Å, b = 4.290 Å, c = 7.055 Å
α = 90.00°, β = 90.00°, γ = 120.00°
Fractional coordinates of all 4 atoms:
As: 0.667 0.333 0.002
As: 0.333 0.667 0.502
In: 0.667 0.333 0.627
In: 0.333 0.667 0.127



7.
The following is a DFT calculation (PBEsol) of an optimized crystal structure of InAs2.

a = 5.621 Å, b = 5.621 Å, c = 5.621 Å
α = 93.58°, β = 117.95°, γ = 117.95°
Fractional coordinates of all 6 atoms:
As: 0.500 0.348 0.152
As: 0.500 0.652 0.848
As: 0.196 0.848 0.348
As: 0.804 0.152 0.652
In: 0.000 0.750 0.750
In: 0.000 0.250 0.250



8.
The following is a DFT calculation (PBEsol) of an optimized crystal structure of InAs2.

a = 3.805 Å, b = 3.805 Å, c = 5.294 Å
α = 90.00°, β = 90.00°, γ = 120.00°
Fractional coordinates of all 3 atoms:
As: 0.667 0.333 0.362
As: 0.333 0.667 0.638
In: 0.000 0.000 0.000



Listing uncorrected energy for the structures above in their given order: -13.65 -26.28 -21.77 -32.48 -8.49 -16.95 -25.77 -13.06 eV for the cell shown.